VASP calculation (PBE) on a relaxed structure of K2Ta2Co.

Calculated values
The space group is I4/mmm, No. 139. As for the magnetization: 2.12 μB per formula unit. The formation enthalpy at 0 K comes out at 31.85 kcal/mol of atoms. The value obtained for the energy above the most stable polymorph in this dataset is 0 meV per atom. For the density of states at the Fermi level, the calculation gives 8.85 states/eV/f.u. For the electronic total energy, the calculation gives -5.2203 eV/atom.

abc: 11.8952 11.8952 11.8952
angles: 162.22 162.22 25.25
Fractional positions:
K (0.1012, 0.1012, 0.0000)
K (0.8988, 0.8988, 0.0000)
Ta (0.2500, 0.7500, 0.5000)
Ta (0.7500, 0.2500, 0.5000)
Co (0.5000, 0.5000, 0.0000)